The following is a GGA-PBE calculation of an optimized crystal structure of In6Se, from Alexandria.

a = 8.170 Å, b = 8.170 Å, c = 8.170 Å
α = 90.00°, β = 90.00°, γ = 90.00°
Space group Im-3m (No. 229)
One atom of each set of equivalent atoms:
In: 0.000 0.250 0.500 [12 per cell]
Se: 0.000 0.000 0.000 [2 per cell]

=====

The following is a GGA-PBE calculation of an optimized crystal structure of In4Se5, from Alexandria.

a = 8.1805 Å, b = 8.1805 Å, c = 7.6706 Å
α = 90.00°, β = 90.00°, γ = 120.00°
Space group P6_3/mcm (No. 193)
One atom of each set of equivalent atoms:
In: 0.0000 0.0000 0.0000 [2 per cell]
In: 0.0000 0.4179 0.2500 [6 per cell]
Se: 0.0000 0.2455 0.7500 [6 per cell]
Se: 0.3333 0.6667 0.0000 [4 per cell]

## Properties
Energy above the most stable polymorph in this dataset = 0 meV per atom

=====

The following is a GGA-PBE calculation of an optimized crystal structure of In3Se, from Alexandria.

a = 7.876 Å, b = 9.290 Å, c = 6.181 Å
α = 90.00°, β = 90.00°, γ = 90.00°
Space group Imma (No. 74)
One atom of each set of equivalent atoms:
In: 0.000 0.250 0.203 [4 per cell]
In: 0.250 0.022 0.750 [8 per cell]
Se: 0.000 0.250 0.717 [4 per cell]

=====

The following is a GGA-PBE calculation of an optimized crystal structure of In3Se, from Alexandria.

a = 3.9810 Å, b = 3.9810 Å, c = 24.5440 Å
α = 90.00°, β = 90.00°, γ = 120.00°
Space group R-3m (No. 166, hexagonal axes)
One atom of each set of equivalent atoms:
In: 0.0000 0.0000 0.0000 [3 per cell]
In: 0.0000 0.0000 0.2411 [6 per cell]
Se: 0.0000 0.0000 0.5000 [3 per cell]

=====

Formation energy (no corrections) per entry: 532; -293; -175; -192 meV per atom